First-principles (PBE-GGA) data for crystalline PrDy3Ga3 at its relaxed geometry, as listed in Alexandria.

Cell: 4.795 9.296 9.296 Å, 120.00 90.00 90.00°
Fractional positions:
1 Pr 0.250 0.667 0.333
2 Pr 0.750 0.333 0.667
3 Dy 0.250 0.020 0.762
4 Dy 0.750 0.257 0.020
5 Dy 0.250 0.743 0.980
6 Dy 0.750 0.762 0.743
7 Dy 0.250 0.238 0.257
8 Dy 0.750 0.980 0.238
9 Ga 0.250 0.392 0.943
10 Ga 0.250 0.057 0.449
11 Ga 0.250 0.551 0.608
12 Ga 0.750 0.943 0.551
13 Ga 0.750 0.608 0.057
14 Ga 0.750 0.449 0.392

Computed properties:
**Crystal system**: hexagonal
**Density**: 7.75 g cm⁻³
**Formation energy**: -438 meV/atom

=====

First-principles (PBE-GGA) data for crystalline LiTiO2 at its relaxed geometry, as listed in Alexandria.

Cell: 3.623 3.623 3.623 Å, 60.00 60.00 60.00°
Each line ends with the local moment (μB).
Fractional positions:
1 Li 0.000 0.000 0.000  0.02
2 Ti 0.500 0.500 0.500  0.96
3 O 0.250 0.250 0.250  -0.04
4 O 0.750 0.750 0.750  -0.04

Computed properties:
**Crystal system**: cubic
**Formation energy without anion corrections**: -8.15 eV/f.u.
**Density**: 4.29 g cm⁻³

=====

First-principles (PBE-GGA) data for crystalline LaNdBr6 at its relaxed geometry, as listed in Alexandria.

Cell: 7.507 7.507 7.308 Å, 97.72 97.72 121.75°
Fractional positions:
1 Br 0.752 0.752 0.248
2 Br 0.097 0.395 0.246
3 Br 0.605 0.903 0.754
4 Br 0.903 0.605 0.754
5 Br 0.248 0.248 0.752
6 Br 0.395 0.097 0.246
7 La 0.500 0.500 0.500
8 Nd 0.000 0.000 0.000

Computed properties:
**Crystal system**: monoclinic
**Formation energy without anion corrections**: -15.17 eV/f.u.
**ΔE to the lowest computed polymorph**: 0.00 eV/f.u.
**Density**: 3.76 g cm⁻³

=====

First-principles (PBE-GGA) data for crystalline Rb3Cr5I12 at its relaxed geometry, as listed in Alexandria.

Cell: 16.132 16.132 16.132 Å, 109.47 109.47 109.47°
Each line ends with the local moment (μB).
Fractional positions:
1 Cr 0.375 0.250 0.125  3.86
2 Cr 0.750 0.625 0.375  3.86
3 Cr 0.125 0.750 0.375  3.86
4 Cr 0.625 0.875 0.250  3.86
5 Cr 0.250 0.875 0.125  3.86
6 Cr 0.875 0.250 0.625  3.86
7 Cr 0.750 0.125 0.875  3.86
8 Cr 0.500 0.000 0.500  3.69
9 Cr 0.000 0.000 0.000  3.69
10 Cr 0.500 0.000 0.000  3.69
11 Cr 0.000 0.500 0.000  3.69
12 Cr 0.000 0.000 0.500  3.69
13 Cr 0.625 0.750 0.875  3.86
14 Cr 0.500 0.500 0.000  3.69
15 Cr 0.250 0.375 0.625  3.86
16 Cr 0.125 0.375 0.250  3.86
17 Cr 0.000 0.500 0.500  3.69
18 Cr 0.375 0.125 0.750  3.86
19 Cr 0.500 0.500 0.500  3.69
20 Cr 0.875 0.625 0.750  3.86
21 I 0.487 0.678 0.096  -0.03
22 I 0.609 0.013 0.191  -0.03
23 I 0.391 0.404 0.082  -0.03
24 I 0.513 0.191 0.109  -0.03
25 I 0.596 0.987 0.678  -0.03
26 I 0.082 0.178 0.191  -0.03
27 I 0.418 0.109 0.596  -0.03
28 I 0.418 0.309 0.322  -0.03
29 I 0.096 0.178 0.487  -0.03
30 I 0.191 0.513 0.609  -0.03
31 I 0.691 0.109 0.013  -0.03
32 I 0.918 0.822 0.809  -0.03
33 I 0.513 0.322 0.904  -0.03
34 I 0.987 0.596 0.178  -0.03
35 I 0.582 0.691 0.678  -0.03
36 I 0.109 0.691 0.513  -0.03
37 I 0.096 0.918 0.109  -0.03
38 I 0.609 0.596 0.918  -0.03
39 I 0.322 0.513 0.404  -0.03
40 I 0.596 0.609 0.418  -0.03
41 I 0.391 0.987 0.809  -0.03
42 I 0.404 0.013 0.322  -0.03
43 I 0.178 0.096 0.987  -0.03
44 I 0.809 0.487 0.391  -0.03
45 I 0.891 0.309 0.487  -0.03
46 I 0.918 0.096 0.609  -0.03
47 I 0.904 0.822 0.513  -0.03
48 I 0.822 0.904 0.013  -0.03
49 I 0.822 0.918 0.309  -0.03
50 I 0.309 0.418 0.822  -0.03
51 I 0.191 0.678 0.082  -0.03
52 I 0.322 0.809 0.418  -0.03
53 I 0.582 0.891 0.404  -0.03
54 I 0.904 0.082 0.891  -0.03
55 I 0.082 0.904 0.391  -0.03
56 I 0.691 0.582 0.178  -0.03
57 I 0.013 0.609 0.691  -0.03
58 I 0.309 0.891 0.987  -0.03
59 I 0.678 0.487 0.596  -0.03
60 I 0.891 0.582 0.904  -0.03
61 I 0.178 0.082 0.691  -0.03
62 I 0.109 0.418 0.096  -0.03
63 I 0.013 0.404 0.822  -0.03
64 I 0.404 0.391 0.582  -0.03
65 I 0.987 0.391 0.309  -0.03
66 I 0.487 0.809 0.891  -0.03
67 I 0.809 0.322 0.918  -0.03
68 I 0.678 0.191 0.582  -0.03
69 Rb 0.375 0.750 0.625  0.00
70 Rb 0.625 0.375 0.750  0.00
71 Rb 0.125 0.875 0.750  0.00
72 Rb 0.250 0.625 0.875  0.00
73 Rb 0.750 0.875 0.625  0.00
74 Rb 0.625 0.250 0.375  0.00
75 Rb 0.875 0.125 0.250  0.00
76 Rb 0.875 0.750 0.125  0.00
77 Rb 0.375 0.625 0.250  0.00
78 Rb 0.250 0.125 0.375  0.00
79 Rb 0.750 0.375 0.125  0.00
80 Rb 0.125 0.250 0.875  0.00

Computed properties:
**Crystal system**: cubic
**Formation energy without anion corrections**: -11.40 eV/f.u.
**Density**: 4.19 g cm⁻³

=====

First-principles (PBE-GGA) data for crystalline TiBe2Au at its relaxed geometry, as listed in Alexandria.

Cell: 4.137 4.137 4.137 Å, 60.00 60.00 60.00°
Each line ends with the local moment (μB).
Fractional positions:
1 Be 0.750 0.750 0.750  0.02
2 Be 0.250 0.250 0.250  0.02
3 Au 0.500 0.500 0.500  0.06
4 Ti 0.000 0.000 0.000  0.66

Computed properties:
**Crystal system**: cubic
**ΔE to the lowest computed polymorph**: 0.00 eV/f.u.
**Density**: 8.72 g cm⁻³
**Formation energy**: -167 meV/atom

=====

First-principles (PBE-GGA) data for crystalline Cd6PdPt at its relaxed geometry, as listed in Alexandria.

Cell: 4.642 6.844 7.196 Å, 67.02 72.23 70.31°
Fractional positions:
1 Cd 0.252 0.754 0.745
2 Cd 0.420 0.928 0.240
3 Cd 0.580 0.072 0.760
4 Cd 0.081 0.570 0.259
5 Cd 0.748 0.246 0.255
6 Cd 0.919 0.430 0.741
7 Pd 0.500 0.500 0.500
8 Pt 0.000 0.000 0.000

Computed properties:
**Crystal system**: triclinic
**Density**: 8.35 g cm⁻³
**Formation energy**: -166 meV/atom

=====

First-principles (PBE-GGA) data for crystalline La3BBr3 at its relaxed geometry, as listed in Alexandria.

Cell: 10.373 10.373 10.373 Å, 109.47 109.47 109.47°
Fractional positions:
1 Br 0.493 0.507 0.250
2 Br 0.243 0.993 0.986
3 Br 0.007 0.757 0.514
4 Br 0.243 0.250 0.757
5 Br 0.014 0.507 0.757
6 Br 0.486 0.743 0.993
7 Br 0.493 0.986 0.743
8 Br 0.257 0.743 0.250
9 Br 0.750 0.757 0.743
10 Br 0.007 0.250 0.993
11 Br 0.257 0.514 0.507
12 Br 0.750 0.993 0.507
13 La 0.767 0.750 0.233
14 La 0.966 0.483 0.233
15 La 0.733 0.267 0.750
16 La 0.767 0.017 0.034
17 La 0.733 0.466 0.483
18 La 0.983 0.750 0.017
19 La 0.250 0.233 0.267
20 La 0.534 0.267 0.017
21 La 0.250 0.017 0.483
22 La 0.517 0.034 0.267
23 La 0.517 0.483 0.750
24 La 0.983 0.233 0.466
25 B 0.750 0.250 0.250
26 B 0.500 0.250 0.500
27 B 0.000 0.000 0.250
28 B 0.750 0.500 0.000

Computed properties:
**Crystal system**: cubic
**Formation energy without anion corrections**: -8.97 eV/f.u.
**Density**: 5.16 g cm⁻³

=====

First-principles (PBE-GGA) data for crystalline KOsPb2 at its relaxed geometry, as listed in Alexandria.

Cell: 5.859 5.859 5.859 Å, 134.61 134.61 66.14°
Fractional positions:
1 K 0.500 0.500 0.000
2 Pb 0.250 0.750 0.500
3 Pb 0.000 0.000 0.000
4 Os 0.750 0.250 0.500

Computed properties:
**Crystal system**: tetragonal
**ΔE to the lowest computed polymorph**: 2.63 eV/f.u.
**Density**: 10.65 g cm⁻³
**Formation energy**: 1023 meV/atom

=====

First-principles (PBE-GGA) data for crystalline CaFe2Bi2 at its relaxed geometry, as listed in Alexandria.

Cell: 4.364 4.364 6.633 Å, 70.79 70.79 90.00°
Fractional positions:
1 Bi 0.364 0.364 0.273
2 Bi 0.636 0.636 0.727
3 Ca 0.000 0.000 0.000
4 Fe 0.250 0.750 0.500
5 Fe 0.750 0.250 0.500

Computed properties:
**Crystal system**: tetragonal
**Density**: 8.46 g cm⁻³
**Formation energy**: 226 meV/atom

=====

First-principles (PBE-GGA) data for crystalline PmSmErZn at its relaxed geometry, as listed in Alexandria.

Cell: 3.601 3.601 8.710 Å, 90.00 90.00 90.00°
Fractional positions:
1 Zn 0.000 0.000 0.560
2 Sm 0.500 0.500 0.778
3 Er 0.500 0.500 0.368
4 Pm 0.000 0.000 0.078

Computed properties:
**Crystal system**: tetragonal
**ΔE to the lowest computed polymorph**: 0.00 eV/f.u.
**Density**: 7.76 g cm⁻³
**Formation energy**: -157 meV/atom

=====

First-principles (PBE-GGA) data for crystalline Co2MoP at its relaxed geometry, as listed in Alexandria.

Cell: 3.648 3.648 8.270 Å, 77.26 77.26 90.00°
Fractional positions:
1 Co 0.375 0.405 0.750
2 Co 0.875 0.845 0.750
3 Co 0.155 0.625 0.250
4 Co 0.595 0.125 0.250
5 Mo 0.750 0.250 0.500
6 Mo 0.000 0.000 0.000
7 P 0.500 0.500 0.000
8 P 0.250 0.750 0.500

Computed properties:
**Crystal system**: tetragonal
**Density**: 7.77 g cm⁻³
**Formation energy**: 189 meV/atom

=====

First-principles (PBE-GGA) data for crystalline La3Sm6Y at its relaxed geometry, as listed in Alexandria.

Cell: 6.367 10.611 10.611 Å, 101.27 90.00 90.00°
Fractional positions:
1 Sm 0.902 0.436 0.014
2 Sm 0.571 0.320 0.440
3 Sm 0.621 0.259 0.741
4 Sm 0.571 0.560 0.680
5 Sm 0.071 0.680 0.560
6 Sm 0.402 0.564 0.986
7 Sm 0.121 0.741 0.259
8 Sm 0.902 0.986 0.564
9 Sm 0.071 0.440 0.320
10 Sm 0.402 0.014 0.436
11 Sm 0.237 0.939 0.061
12 Sm 0.737 0.061 0.939
13 La 0.457 0.280 0.135
14 La 0.957 0.720 0.865
15 La 0.586 0.633 0.367
16 La 0.957 0.135 0.280
17 La 0.086 0.367 0.633
18 La 0.457 0.865 0.720
19 Y 0.683 0.845 0.155
20 Y 0.183 0.155 0.845

Computed properties:
**Crystal system**: orthorhombic
**ΔE to the lowest computed polymorph**: 0.00 eV/f.u.
**Density**: 6.65 g cm⁻³
**Formation energy**: 180 meV/atom

=====

First-principles (PBE-GGA) data for crystalline LiLaH8Pd2 at its relaxed geometry, as listed in Alexandria.

Cell: 4.713 4.713 6.822 Å, 69.79 69.79 60.00°
Fractional positions:
1 Li 0.000 0.000 0.000
2 H 0.943 0.580 0.155
3 H 0.057 0.420 0.845
4 H 0.678 0.057 0.845
5 H 0.580 0.322 0.155
6 H 0.848 0.848 0.455
7 H 0.420 0.678 0.845
8 H 0.322 0.943 0.155
9 H 0.152 0.152 0.545
10 Pd 0.669 0.669 0.994
11 Pd 0.331 0.331 0.006
12 La 0.500 0.500 0.500

Computed properties:
**Electronic total energy**: -47.0 eV/f.u.
**Crystal system**: trigonal
**Density**: 5.06 g cm⁻³

=====

First-principles (PBE-GGA) data for crystalline KSrSi2 at its relaxed geometry, as listed in Alexandria.

Cell: 3.977 4.953 6.452 Å, 67.44 90.00 90.00°
Fractional positions:
1 K 0.500 0.772 0.832
2 Sr 0.000 0.485 0.404
3 Si 0.500 0.063 0.248
4 Si 0.000 0.180 0.016

Computed properties:
**Crystal system**: orthorhombic
**Formation energy without anion corrections**: -0.71 eV/f.u.
**ΔE to the lowest computed polymorph**: 0.00 eV/f.u.
**Density**: 2.59 g cm⁻³